[1]
Material: Th3Te12Pd5
Method: DFT, PBE-GGA
State: optimized geometry

Crystal system ... cubic
Energy relative to the elements, uncorrected ... -0.609 eV/atom
SG ... Ia-3d (230)

extended XYZ file:
```
80
Lattice="14.697 0.000 0.000 -4.899 13.857 0.000 -4.899 -6.928 12.000" Properties=species:S:1:pos:R:3 pbc="T T T"
Te 7.523 3.833 4.532
Te 3.556 5.746 4.983
Te -6.005 3.725 8.485
Te 1.783 1.804 10.983
Te -1.835 -0.834 5.586
Te 6.005 -1.182 7.017
Te 3.116 5.124 1.017
Te -1.106 8.110 4.983
Te 6.242 10.653 3.515
Te 1.343 1.182 7.017
Te 0.614 8.719 8.071
Te 9.973 -3.095 7.468
Te 5.566 1.782 10.946
Te -0.667 8.732 1.017
Te 4.724 2.378 7.054
Te 9.184 0.834 5.586
Te 7.523 12.401 0.414
Te -3.064 7.885 9.516
Te 5.566 -1.804 10.983
Te 6.682 6.907 2.070
Te 3.064 1.791 3.930
Te -0.614 0.956 2.485
Te 1.783 -1.782 10.946
Te -4.724 5.472 11.586
Te 4.285 -1.791 3.930
Te 6.242 2.021 1.468
Te -3.793 11.835 1.468
Te -2.624 3.095 7.468
Te -5.566 -0.021 9.930
Te -5.074 10.023 4.532
Te 10.904 3.204 3.515
Te -2.624 -5.472 11.586
Te -1.343 -3.725 8.485
Te -1.783 0.021 9.930
Te -0.667 5.146 1.054
Te 2.275 9.306 4.946
Te -1.343 4.907 10.532
Te 0.175 4.551 4.946
Te 7.963 -0.956 2.485
Te 10.465 6.950 2.070
Te 6.734 7.763 6.414
Te 5.513 5.972 9.516
Te 1.835 5.138 8.071
Te 2.624 -2.378 7.054
Te 8.692 -4.907 10.532
Te 3.116 8.711 1.054
Te -4.285 6.094 6.414
Te 9.623 1.456 0.414
Pd -1.225 11.258 1.500
Pd 6.124 -4.330 10.500
Pd 1.225 4.330 10.500
Pd 4.899 6.928 0.000
Pd 2.450 3.464 6.000
Pd 6.124 6.062 4.500
Pd -1.225 0.866 7.500
Pd 3.674 10.392 3.000
Pd 8.573 -0.866 7.500
Pd 6.124 3.464 9.000
Pd -2.450 6.928 0.000
Pd -3.674 7.794 4.500
Pd 1.225 -3.464 9.000
Pd -4.899 3.464 6.000
Pd -1.225 3.464 3.000
Pd 0.000 0.000 0.000
Pd 7.349 0.000 0.000
Pd -2.450 -3.464 6.000
Pd 4.899 -3.464 6.000
Pd 3.674 2.598 1.500
Th 8.573 4.330 1.500
Th -6.124 6.928 9.000
Th -3.674 -2.598 10.500
Th 1.225 -0.866 4.500
Th 1.225 6.928 3.000
Th 6.124 0.866 4.500
Th -1.225 6.062 7.500
Th 8.573 9.526 1.500
Th 3.674 0.000 9.000
Th 11.023 0.000 3.000
Th 3.674 7.794 7.500
Th -3.674 2.598 10.500
```



[2]
Material: Pm2Nd6YHo
Method: DFT, PBE-GGA
State: optimized geometry

Crystal system ... monoclinic
SG ... C2/c (15)
Calculated formation energy ... 111.9 meV per atom

extended XYZ file:
```
20
Lattice="-2.159 9.565 0.395 -4.166 -1.928 7.757 8.912 1.338 0.145" Properties=species:S:1:pos:R:3 pbc="T T T"
Pm 0.680 5.216 1.781
Pm 2.179 8.879 5.928
Pm 0.409 0.096 2.370
Pm 1.908 3.759 6.516
Nd 2.904 5.904 4.222
Nd 5.240 8.243 3.793
Nd 5.836 4.968 2.199
Nd 1.347 8.538 2.676
Nd -3.248 4.007 6.098
Nd 6.106 1.291 1.084
Nd -0.947 1.646 7.825
Nd 3.535 7.329 0.473
Nd -2.651 0.732 4.504
Nd 1.242 0.437 5.621
Nd -0.316 3.071 4.075
Nd -3.518 7.684 7.213
Ho -0.433 6.582 4.939
Ho 3.021 2.393 3.359
Y 7.006 8.440 0.608
Y -4.418 0.535 7.689
```